# 1
VASP calculation (GGA-PBE) on a relaxed structure of ThZr2Ir2.

Unit cell a=4.5265 b=4.5265 c=6.3972 alpha=110.72 beta=110.72 gamma=90.00
With the nearest neighbours (Å) after each atom.
Atoms (fractional coordinates):
Th (0.0000, 0.0000, 0.0000)  8 Ir 3.46, 8 Zr 3.58
Zr (0.7500, 0.2500, 0.5000)  4 Ir 2.70
Zr (0.2500, 0.7500, 0.5000)  4 Ir 2.70
Ir (0.6176, 0.6176, 0.2352)  1 Ir 2.61, 4 Zr 2.70
Ir (0.3824, 0.3824, 0.7648)  1 Ir 2.61, 4 Zr 2.70

Values from the calculation:
**Magnetic moment**: 0.000 μB/f.u.
**ΔH_f (0 K)**: -347 kJ/mol of formula units
**Uncorrected energy**: -9.166 eV per atom

# 2
VASP calculation (GGA-PBE) on a relaxed structure of LiPuPb.

Unit cell a=3.4987 b=3.4987 c=6.5155 alpha=105.57 beta=105.57 gamma=90.00
With the nearest neighbours (Å) after each atom.
Atoms (fractional coordinates):
Pb (0.9259, 0.9259, 0.8519)  4 Li 2.87
Pu (0.6192, 0.6192, 0.2384)  4 Li 3.34, 5 Pb 3.40-3.70, 4 Pu 3.50
Li (0.3049, 0.3049, 0.6097)  4 Pb 2.87

Values from the calculation:
**Magnetic moment**: 6.655 μB/f.u.
**ΔH_f (0 K)**: -8 kJ/mol of formula units
**Energy above the most stable polymorph in this dataset**: 0.48 eV per formula unit
**Uncorrected energy**: -6.680 eV per atom

# 3
VASP calculation (GGA-PBE) on a relaxed structure of PmCdNiSn.

Unit cell a=4.9502 b=4.9502 c=4.9502 alpha=60.00 beta=60.00 gamma=60.00
With the nearest neighbours (Å) after each atom.
Atoms (fractional coordinates):
Ni (0.2500, 0.2500, 0.2500)  4 Sn 3.03, 4 Pm 3.03
Cd (0.7500, 0.7500, 0.7500)  4 Pm 3.03, 4 Sn 3.03
Sn (0.0000, 0.0000, 0.0000)  4 Cd 3.03, 4 Ni 3.03
Pm (0.5000, 0.5000, 0.5000)  4 Ni 3.03, 4 Cd 3.03

Values from the calculation:
**Magnetic moment**: 0.000 μB/f.u.
**ΔH_f (0 K)**: -97 kJ/mol of formula units
**Uncorrected energy**: -4.113 eV per atom

# 4
VASP calculation (GGA-PBE) on a relaxed structure of Pm2Pr8Th3.

Unit cell a=10.5833 b=11.1860 c=10.0746 alpha=123.72 beta=137.34 gamma=90.00
With the nearest neighbours (Å) after each atom.
Atoms (fractional coordinates):
Pm (0.4183, 0.1889, 0.3779)  6 Pr 3.35-3.72, 2 Th 3.45
Pm (0.5817, 0.8111, 0.6221)  6 Pr 3.35-3.72, 2 Th 3.45
Pr (0.0179, 0.6163, 0.2327)  1 Th 3.06, 1 Pm 3.35
Pr (0.9821, 0.3837, 0.7673)  1 Th 3.06, 1 Pm 3.35
Pr (0.1658, 0.2569, 0.5138)  2 Pm 3.52-3.72, 7 Pr 3.67-3.88, 3 Th 3.81-3.92
Pr (0.8342, 0.7431, 0.4862)  2 Pm 3.52-3.72, 7 Pr 3.67-3.88, 3 Th 3.81-3.92
Pr (0.6423, 0.7237, 0.9612)  3 Th 3.39-3.78, 3 Pr 3.52-3.67, 1 Pm 3.68
Pr (0.6423, 0.2375, 0.9612)  3 Th 3.39-3.78, 3 Pr 3.52-3.67, 1 Pm 3.68
Pr (0.3577, 0.7625, 0.0388)  3 Th 3.39-3.78, 3 Pr 3.52-3.67, 1 Pm 3.68
Pr (0.3577, 0.2763, 0.0388)  3 Th 3.39-3.78, 3 Pr 3.52-3.67, 1 Pm 3.68
Th (0.5000, 0.0000, 0.0000)  6 Pr 3.06-3.39
Th (0.0000, 0.2379, 0.0000)  6 Pr 3.43-3.78, 2 Pm 3.45
Th (0.0000, 0.7621, 0.0000)  6 Pr 3.43-3.78, 2 Pm 3.45

Values from the calculation:
**Magnetic moment**: 0.000 μB/f.u.
**ΔH_f (0 K)**: 291 kJ/mol of formula units
**Uncorrected energy**: -5.152 eV per atom